Entry 1:
Tl2SbIrPb: optimized geometry, PBE.

Cell: 5.3137 5.3137 5.2436 Å, 90.00 90.00 90.00°
Element x y z (fractional)
Tl 0.0000 0.5000 0.0000
Tl 0.5000 0.0000 0.0000
Sb 0.0000 0.0000 0.5000
Ir 0.0000 0.0000 0.0000
Pb 0.5000 0.5000 0.5000

Calculated values
**ΔE_f (raw)**: 256 meV per atom
**SG**: P4/mmm (123)
**Electronic total energy**: -4.029 eV per atom
**DOS at the Fermi energy**: 0.667 states/eV per atom


Entry 2:
SmTmInRu: optimized geometry, PBE.

Cell: 5.0822 5.0822 5.0822 Å, 60.00 60.00 60.00°
Element x y z (fractional)
Sm 0.0000 0.0000 0.0000
Tm 0.5000 0.5000 0.5000
In 0.7500 0.7500 0.7500
Ru 0.2500 0.2500 0.2500

Calculated values
**ΔE_f**: -0.304 eV per atom
**Polymorph energy (0 for the lowest one)**: 134 meV per atom
**SG**: F-43m (216)
**Electronic total energy**: -5.606 eV per atom
**DOS at the Fermi energy**: 0.670 states/eV per atom


Look up the DOS at the Fermi energy of the second one. 0.670 states/eV per atom


Look up the DOS at the Fermi energy of the first one. 0.667 states/eV per atom


DOS at the Fermi energy of number 1 (Tl2SbIrPb)? 0.667 states/eV per atom


Copy entry 2 word for word.
SmTmInRu: optimized geometry, PBE.

Cell: 5.0822 5.0822 5.0822 Å, 60.00 60.00 60.00°
Element x y z (fractional)
Sm 0.0000 0.0000 0.0000
Tm 0.5000 0.5000 0.5000
In 0.7500 0.7500 0.7500
Ru 0.2500 0.2500 0.2500

Calculated values
**ΔE_f**: -0.304 eV per atom
**Polymorph energy (0 for the lowest one)**: 134 meV per atom
**SG**: F-43m (216)
**Electronic total energy**: -5.606 eV per atom
**DOS at the Fermi energy**: 0.670 states/eV per atom